1.
The following is a DFT calculation (PBE) of a relaxed Cs2CdClO crystal.

Cell and atoms, written as POSCAR:
```
Cs2CdClO
1.0
-3.243 5.534 2.608
-2.861 -0.197 -3.139
-3.965 -4.150 3.874
Cs Cl O Cd
2 1 1 1
Cartesian
-1.982 -2.075 1.937
-1.622 2.767 1.304
-5.034 0.594 1.672
-1.430 -0.098 -1.570
0.000 0.000 0.000
```

Calculated values
Space group = P4/mmm, No. 123
Density of states at the Fermi level = 0.10 states/eV per atom
Size of the total moment = 0.000 μB/atom

***

2.
The following is a DFT calculation (PBE) of a relaxed Ac2Cd3In5 crystal.

Cell and atoms, written as POSCAR:
```
Ac2Cd3In5
1.0
6.338 0.000 2.398
2.743 9.052 2.326
-0.061 -0.206 9.738
Ac Cd In
4 6 10
Cartesian
2.493 5.605 2.985
4.274 1.022 7.853
6.527 3.241 11.476
4.746 7.824 6.608
3.669 4.308 9.454
7.590 6.789 8.667
5.351 4.538 5.008
1.430 2.057 5.795
1.585 0.000 0.600
4.754 0.000 1.799
3.066 2.155 11.049
8.249 8.806 6.923
5.954 6.691 3.413
0.771 0.040 7.539
5.168 6.666 10.281
3.852 2.180 4.181
6.095 4.423 7.830
2.925 4.423 6.631
0.683 2.180 2.982
8.337 6.666 11.480
```

Calculated values
Space group = Ibam, No. 72
Energy relative to the elements = -319.9 meV per atom
Density of states at the Fermi level = 0.31 states/eV per atom
Size of the total moment = 0.000 μB/atom

***

3.
The following is a DFT calculation (PBE) of a relaxed BeTeP2Cl crystal.

Cell and atoms, written as POSCAR:
```
BeTeP2Cl
1.0
-1.954 4.522 2.077
-3.141 -2.485 2.455
3.462 -0.367 4.057
P Te Be Cl
2 1 1 1
Cartesian
1.731 -0.184 2.029
-0.977 2.261 1.038
0.000 0.000 0.000
-1.570 -1.242 1.228
-0.817 0.835 4.294
```

Calculated values
Space group = P4/mmm, No. 123
Density of states at the Fermi level = 0.76 states/eV per atom
Size of the total moment = 0.593 μB/atom

***

4.
The following is a DFT calculation (PBE) of a relaxed Na2Mg2Sb crystal.

Cell and atoms, written as POSCAR:
```
Na2Mg2Sb
1.0
7.474 0.000 0.000
0.000 7.474 0.000
0.000 0.000 5.283
Sb Mg Na
2 4 4
Cartesian
0.000 0.000 0.000
3.737 3.737 0.000
2.726 6.462 0.000
6.462 4.748 0.000
4.748 1.011 0.000
1.011 2.726 0.000
1.269 5.006 2.642
5.006 6.204 2.642
6.204 2.467 2.642
2.467 1.269 2.642
```

Calculated values
Space group = P4/mbm, No. 127
Density of states at the Fermi level = 0.25 states/eV per atom
Size of the total moment = 0.000 μB/atom

***

5.
The following is a DFT calculation (PBE) of a relaxed PmEuFe4 crystal.

Cell and atoms, written as POSCAR:
```
PmEuFe4
1.0
5.237 0.000 0.000
2.618 4.535 0.000
2.618 1.512 4.276
Eu Fe Pm
1 4 1
Cartesian
2.618 1.512 1.069
5.237 3.023 0.542
5.237 1.518 2.670
6.540 3.776 2.670
3.933 3.776 2.670
0.000 0.000 0.000
```

Calculated values
Space group = F-43m, No. 216
Energy relative to the elements = 199.7 meV per atom
Density of states at the Fermi level = 3.17 states/eV per atom
Size of the total moment = 2.517 μB/atom

***

6.
The following is a DFT calculation (PBE) of a relaxed K2ErTiP3O12 crystal.

Cell and atoms, written as POSCAR:
```
K2ErTiP3O12
1.0
10.257 0.000 0.000
0.000 10.257 0.000
0.000 0.000 10.257
K Er Ti P O
8 4 4 12 48
Cartesian
0.491 5.619 9.766
1.814 8.443 3.315
3.315 1.814 8.443
4.638 4.638 4.638
5.619 9.766 0.491
6.942 6.942 6.942
8.443 3.315 1.814
9.766 0.491 5.619
1.746 1.746 1.746
3.383 8.511 6.874
6.874 3.383 8.511
8.511 6.874 3.383
1.103 4.025 6.232
4.025 6.232 1.103
6.232 1.103 4.025
9.154 9.154 9.154
0.053 7.190 6.508
1.379 5.076 3.067
2.062 8.878 10.204
3.067 1.379 5.076
3.749 5.181 8.195
5.076 3.067 1.379
5.181 8.195 3.749
6.508 0.053 7.190
7.190 6.508 0.053
8.195 3.749 5.181
8.878 10.204 2.062
10.204 2.062 8.878
0.256 6.092 2.814
0.145 5.661 6.824
0.491 2.743 7.583
0.964 2.314 10.000
0.532 8.561 10.112
1.023 3.713 2.464
1.415 7.793 6.151
1.696 4.983 4.596
2.385 2.674 5.620
2.314 10.000 0.964
2.674 5.620 2.385
2.464 1.023 3.713
2.665 9.234 8.842
2.455 4.637 7.514
2.814 0.256 6.092
2.743 7.583 0.491
3.432 5.274 9.725
3.713 2.464 1.023
4.105 6.544 7.592
4.596 1.696 4.983
4.165 7.943 4.872
4.637 7.514 2.455
4.983 4.596 1.696
4.872 4.165 7.943
5.385 9.293 7.443
5.274 9.725 3.432
5.620 2.385 2.674
6.092 2.814 0.256
5.661 6.824 0.145
6.151 1.415 7.793
6.544 7.592 4.105
6.824 0.145 5.661
7.514 2.455 4.637
7.443 5.385 9.293
7.802 9.766 7.872
7.592 4.105 6.544
7.793 6.151 1.415
7.583 0.491 2.743
7.943 4.872 4.165
7.872 7.802 9.766
8.561 10.112 0.532
8.842 2.665 9.234
9.234 8.842 2.665
9.725 3.432 5.274
9.293 7.443 5.385
9.766 7.872 7.802
10.112 0.532 8.561
10.000 0.964 2.314
```

Calculated values
Space group = P2_13, No. 198
Density of states at the Fermi level = 0.00 states/eV per atom
Size of the total moment = 0.000 μB/atom

***

7.
The following is a DFT calculation (PBE) of a relaxed YZnNi2 crystal.

Cell and atoms, written as POSCAR:
```
YZnNi2
1.0
4.159 0.000 0.000
-2.079 3.601 0.000
0.000 0.000 8.858
Y Zn Ni
2 2 4
Cartesian
0.000 2.401 2.214
2.079 1.200 6.643
0.000 0.000 0.000
0.000 0.000 4.429
2.079 1.200 0.560
0.000 2.401 4.989
2.079 1.200 3.869
0.000 2.401 8.298
```

Calculated values
Space group = P6_3/mmc, No. 194
Energy relative to the elements = -397.3 meV per atom
Density of states at the Fermi level = 0.62 states/eV per atom
Size of the total moment = 0.000 μB/atom

***

8.
The following is a DFT calculation (PBE) of a relaxed Ac5AgSe4 crystal.

Cell and atoms, written as POSCAR:
```
Ac5AgSe4
1.0
-1.740 3.737 -1.735
-5.122 -3.282 -1.931
-1.721 1.978 11.748
Ac Ag Se
5 1 4
Cartesian
-1.915 2.316 1.143
-3.975 3.198 5.108
-4.607 -0.765 2.973
-2.561 -1.641 -0.966
-6.668 0.118 6.939
0.000 0.000 0.000
-4.101 1.756 7.893
-6.493 1.539 4.060
-2.089 0.895 4.021
-4.481 0.677 0.188
```

Calculated values
Space group = Immm, No. 71
Density of states at the Fermi level = 0.79 states/eV per atom
Size of the total moment = 0.000 μB/atom

***

How do the records compare in E? In the order shown, they have -14.2; -27.9; -13.3; -10.5; -47.7; -141.1; -20.9; -52.5 eV/f.u..